# 1
A plane-wave DFT calculation with PBE was carried out for a relaxed Na2NpGeTe4 crystal.

Output
**Uncorrected formation energy**: -0.615 eV per atom
**Size of the total moment**: 2.99 μB per cell

Lattice parameters (Å, degrees): 7.7119 4.4241 7.7869 90.00 108.65 90.00
Closest atoms and distances in Å follow each position.
Space group P2/m (No. 10)
Symmetry-distinct sites (fractional):
Na 0.0000 0.0000 0.0000 [1 per cell]  6 Te 3.28-3.29
Na 0.5000 0.5000 0.0000 [1 per cell]  6 Te 3.25-3.28
Np 0.0000 0.5000 0.5000 [1 per cell]  6 Te 3.03-3.08
Ge 0.5000 0.0000 0.5000 [1 per cell]  6 Te 3.02-3.04
Te 0.2463 0.0000 0.7265 [2 per cell]  1 Ge 3.02, 2 Np 3.08, 3 Na 3.25-3.28
Te 0.2596 0.5000 0.2790 [2 per cell]  1 Np 3.03, 2 Ge 3.04, 3 Na 3.28-3.29



# 2
A plane-wave DFT calculation with PBE was carried out for a relaxed SbRuRh crystal.

Output
**Uncorrected formation energy**: 0.136 eV per atom
**Size of the total moment**: 0.00 μB per cell
**Relative energy among the computed polymorphs**: 177.1 meV per atom

Lattice parameters (Å, degrees): 3.1546 3.1546 9.8920 90.00 90.00 90.00
Closest atoms and distances in Å follow each position.
Space group I4mm (No. 107)
Symmetry-distinct sites (fractional):
Sb 0.0000 0.0000 0.0000 [2 per cell]  4 Ru 2.69, 4 Rh 2.71
Ru 0.0000 0.0000 0.6520 [2 per cell]  4 Sb 2.69, 4 Rh 2.93
Rh 0.0000 0.0000 0.3436 [2 per cell]  4 Sb 2.71, 4 Ru 2.93



# 3
A plane-wave DFT calculation with PBE was carried out for a relaxed DyPaAu6 crystal.

Output
**Formation energy from the elements**: -0.1822 eV/atom
**Size of the total moment**: 3.97 μB per cell

Lattice parameters (Å, degrees): 5.5268 5.5268 23.7280 90.00 90.00 120.00
Closest atoms and distances in Å follow each position.
Space group R-3m (No. 166, hexagonal axes)
Symmetry-distinct sites (fractional):
Dy 0.0000 0.0000 0.0000 [3 per cell]  6 Au 2.91
Pa 0.0000 0.0000 0.5000 [3 per cell]  12 Au 3.16
Au 0.0039 0.5019 0.4355 [18 per cell]  5 Au 2.73-3.06, 1 Dy 2.91



# 4
A plane-wave DFT calculation with PBE was carried out for a relaxed La2Sc4Sn3O2 crystal.

Output
**Uncorrected formation energy**: -1.551 eV per atom
**Size of the total moment**: 2.40 μB per cell

Lattice parameters (Å, degrees): 4.4689 4.4689 25.0806 90.00 90.00 90.00
Closest atoms and distances in Å follow each position.
Space group I4/mmm (No. 139)
Symmetry-distinct sites (fractional):
La 0.0000 0.0000 0.1936 [4 per cell]  1 O 2.67
Sc 0.0000 0.5000 0.0793 [8 per cell]  2 O 2.24
Sn 0.0000 0.0000 0.3340 [4 per cell]  4 Sc 3.12, 4 La 3.24
Sn 0.0000 0.0000 0.5000 [2 per cell]  8 Sc 2.99
O 0.0000 0.0000 0.0874 [4 per cell]  4 Sc 2.24



# 5
A plane-wave DFT calculation with PBE was carried out for a relaxed BaSrCaMgSi2O8 crystal.

Output
**Uncorrected formation energy**: -2.970 eV per atom
**Size of the total moment**: 0.00 μB per cell

Lattice parameters (Å, degrees): 5.5306 5.5306 6.9803 90.00 90.00 120.00
Closest atoms and distances in Å follow each position.
Space group P3m1 (No. 156)
Symmetry-distinct sites (fractional):
Ba 0.0000 0.0000 0.0000 [1 per cell]  6 O 2.80-2.81
Sr 0.3333 0.6667 0.3424 [1 per cell]  1 O 2.36
Ca 0.6667 0.3333 0.6681 [1 per cell]  1 O 2.27
Mg 0.0000 0.0000 0.5007 [1 per cell]  6 O 2.08-2.09
Si 0.3333 0.6667 0.7730 [1 per cell]  4 O 1.61-1.66
Si 0.6667 0.3333 0.2273 [1 per cell]  4 O 1.63-1.65
O 0.1748 0.3496 0.6781 [3 per cell]  1 Si 1.66
O 0.3333 0.6667 0.0038 [1 per cell]  1 Si 1.61
O 0.3505 0.1753 0.3228 [3 per cell]  1 Si 1.65
O 0.6667 0.3333 0.9933 [1 per cell]  1 Si 1.63



# 6
A plane-wave DFT calculation with PBE was carried out for a relaxed LiHoCd4 crystal.

Output
**Formation energy from the elements**: -0.2241 eV/atom
**Size of the total moment**: 0.00 μB per cell
**Relative energy among the computed polymorphs**: 0.0 meV per atom

Lattice parameters (Å, degrees): 3.1882 4.9868 8.6366 90.00 90.04 90.00
Closest atoms and distances in Å follow each position.
Space group Pm (No. 6)
Symmetry-distinct sites (fractional):
Li 0.0000 0.0000 0.0000 [1 per cell]  2 Li 3.19, 12 Cd 3.24-3.28
Ho 0.9984 0.5000 0.4993 [1 per cell]  2 Ho 3.19, 12 Cd 3.31-3.34
Cd 0.4938 0.5000 0.8377 [1 per cell]  3 Cd 2.79-2.88
Cd 0.4978 0.0000 0.6715 [1 per cell]  5 Cd 2.88-3.19
Cd 0.4986 0.0000 0.3271 [1 per cell]  5 Cd 2.88-3.19
Cd 0.5037 0.5000 0.1608 [1 per cell]  3 Cd 2.79-2.88



# 7
A plane-wave DFT calculation with PBE was carried out for a relaxed SrTbPr14 crystal.

Output
**Formation energy from the elements**: 0.0394 eV/atom
**Size of the total moment**: 0.00 μB per cell

Lattice parameters (Å, degrees): 7.4793 7.4793 10.4869 90.00 90.00 90.00
Closest atoms and distances in Å follow each position.
Space group P4/mmm (No. 123)
Symmetry-distinct sites (fractional):
Sr 0.0000 0.0000 0.0000 [1 per cell]  12 Pr 3.74-3.80
Tb 0.5000 0.5000 0.0000 [1 per cell]  12 Pr 3.70-3.74
Pr 0.0000 0.0000 0.5000 [1 per cell]  12 Pr 3.74-3.75
Pr 0.0000 0.5000 0.0000 [2 per cell]  2 Tb 3.74, 2 Sr 3.74, 8 Pr 3.75
Pr 0.0000 0.5000 0.5000 [2 per cell]  12 Pr 3.70-3.74
Pr 0.2562 0.2562 0.2533 [8 per cell]  10 Pr 3.65-3.83, 1 Tb 3.70, 1 Sr 3.80
Pr 0.5000 0.5000 0.5000 [1 per cell]  12 Pr 3.65-3.74



# 8
A plane-wave DFT calculation with PBE was carried out for a relaxed NbGe3F crystal.

Output
**Uncorrected formation energy**: 0.114 eV per atom
**Size of the total moment**: 0.00 μB per cell
**Relative energy among the computed polymorphs**: 12.3 meV per atom

Lattice parameters (Å, degrees): 4.9855 4.9855 4.9855 90.00 90.00 90.00
Closest atoms and distances in Å follow each position.
Space group Pm-3m (No. 221)
Symmetry-distinct sites (fractional):
Nb 0.0000 0.0000 0.0000 [1 per cell]  6 Ge 2.49
Ge 0.0000 0.0000 0.5000 [3 per cell]  2 Nb 2.49
F 0.5000 0.5000 0.5000 [1 per cell]  12 Ge 3.53